Entry 1:
VASP calculation (PBE) on an optimized crystal structure of CdTcPt2.

abc: 2.8396 2.8396 27.9147
angles: 90.00 90.00 120.00
With the nearest neighbours (Å) after each atom.
Space group R-3m (No. 166, hexagonal axes)
Inequivalent atoms, fractional coordinates:
Cd 0.0000 0.0000 0.0000 x3  6 Cd 2.84, 6 Pt 2.96
Tc 0.0000 0.0000 0.5000 x3  6 Pt 2.73, 6 Tc 2.84
Pt 0.0000 0.0000 0.2450 x6  3 Tc 2.73, 6 Pt 2.84, 3 Cd 2.96

Entry 2:
VASP calculation (PBE) on an optimized crystal structure of Cd2TcPt.

abc: 2.8760 2.8760 8.5818
angles: 90.00 90.00 90.00
With the nearest neighbours (Å) after each atom.
Space group P4mm (No. 99)
Inequivalent atoms, fractional coordinates:
Cd 0.0000 0.0000 0.0000 x1  4 Cd 2.88, 4 Tc 2.96
Cd 0.5000 0.5000 0.2921 x1  4 Cd 2.88, 4 Pt 2.98
Tc 0.5000 0.5000 0.7499 x1  4 Pt 2.69, 4 Tc 2.88, 4 Cd 2.96
Pt 0.0000 0.0000 0.5455 x1  4 Tc 2.69, 4 Pt 2.88, 4 Cd 2.98

relative energy among the computed polymorphs = 0 meV/atom

Number 1: E -5.92 eV per atom, formation enthalpy at 0 K -81 meV/atom, total magnetization 0.01 Bohr magnetons per cell. Number 2: E -4.53 eV per atom, formation enthalpy at 0 K 32 meV/atom, total magnetization 0.00 Bohr magnetons per cell.